# 1
Material: KMgZn
Method: DFT, PBE-GGA
State: optimized geometry

POSCAR file:
```
KMgZn
1.0
4.7753 0.0000 0.0000
0.0000 4.7753 0.0000
0.0000 0.0000 8.3323
K Mg Zn
2 2 2
Cartesian
1.1938 1.1938 1.2254 K
3.5815 3.5815 7.1069 K
1.1938 3.5815 4.1661 Mg
3.5815 1.1938 4.1661 Mg
1.1938 1.1938 5.7265 Zn
3.5815 3.5815 2.6058 Zn
```

The calculation puts the calculated density at 2.251 g/cm³. Its calculated formation energy is 0.06 eV per atom.

# 2
Material: Sc2AgPb
Method: DFT, PBE-GGA
State: optimized geometry

POSCAR file:
```
Sc2AgPb
1.0
1.6690 0.9636 10.4584
-1.6690 0.9636 10.4584
0.0000 -1.9272 10.4584
Sc Ag Pb
2 1 1
Cartesian
0.0000 0.0000 2.9940 Sc
0.0000 0.0000 28.3812 Sc
0.0000 0.0000 15.6876 Ag
0.0000 0.0000 0.0000 Pb
```

The calculation puts the calculated density at 6.663 g/cm³. Its calculated formation energy is 0.11 eV per atom.